# 1
DFT (PBE-GGA) results for TaMo2Rh after structural relaxation.

Lattice parameters (Å, degrees): 4.492 3.788 3.788 90.00 90.00 90.00
Atoms (fractional coordinates):
Mo  0.000  0.500  0.500
Rh  0.500  0.500  0.000
Mo  0.000  0.000  0.000
Ta  0.500  0.000  0.500

Calculated values
Its space group is No. 123. As for the polymorph energy (0 for the lowest one): 0.29 eV per formula unit. Its formation energy from the elements is -0.2 eV per formula unit. For the total DFT energy (no corrections), the calculation gives -41.10 eV/cell.

---

# 2
DFT (PBE-GGA) results for TaMo2Rh after structural relaxation.

Lattice parameters (Å, degrees): 2.738 2.738 8.583 90.00 90.00 90.00
Atoms (fractional coordinates):
Mo  0.000  0.000  0.479
Rh  0.500  0.500  0.250
Ta  0.500  0.500  0.750
Mo  0.000  0.000  0.021

Calculated values
Its space group is No. 123. As for the polymorph energy (0 for the lowest one): 0.41 eV per formula unit. Its formation energy from the elements is -0.1 eV per formula unit. For the total DFT energy (no corrections), the calculation gives -40.98 eV/cell.

---

# 3
DFT (PBE-GGA) results for TaMo2Rh after structural relaxation.

Lattice parameters (Å, degrees): 2.780 3.980 5.838 90.00 90.00 90.00
Atoms (fractional coordinates):
Ta  0.500  0.500  0.750
Rh  0.500  0.500  0.250
Mo  0.000  0.000  0.486
Mo  0.000  0.000  0.014

Calculated values
Its space group is No. 47. As for the polymorph energy (0 for the lowest one): 0.85 eV per formula unit. Its formation energy from the elements is 0.3 eV per formula unit. For the total DFT energy (no corrections), the calculation gives -40.54 eV/cell.

---

# 4
DFT (PBE-GGA) results for TaMo4Rh after structural relaxation.

Lattice parameters (Å, degrees): 5.204 5.204 5.204 60.00 60.00 60.00
Atoms (fractional coordinates):
Mo  0.374  0.374  0.374
Rh  0.750  0.750  0.750
Mo  0.879  0.374  0.374
Mo  0.374  0.879  0.374
Ta  0.000  0.000  0.000
Mo  0.374  0.374  0.879

Calculated values
Its space group is No. 216. Its formation energy from the elements is 1.2 eV per formula unit. For the total DFT energy (no corrections), the calculation gives -61.37 eV/cell.

---

# 5
DFT (PBE-GGA) results for TaMoRh2 after structural relaxation.

Lattice parameters (Å, degrees): 2.811 2.811 7.933 90.00 90.00 90.04
Atoms (fractional coordinates):
Rh  0.000  0.000  0.996
Mo  0.500  0.500  0.767
Rh  0.500  0.500  0.248
Ta  0.000  0.000  0.489

Calculated values
Its space group is No. 99. As for the polymorph energy (0 for the lowest one): 0.89 eV per formula unit. Its formation energy from the elements is -0.5 eV per formula unit. For the total DFT energy (no corrections), the calculation gives -37.91 eV/cell.

---

# 6
DFT (PBE-GGA) results for TaMoRh after structural relaxation.

Lattice parameters (Å, degrees): 4.497 4.497 2.765 90.00 90.00 120.00
Atoms (fractional coordinates):
Rh  0.667  0.333  0.362
Ta  0.333  0.667  0.667
Mo  0.000  0.000  0.971

Calculated values
Its space group is No. 156. As for the polymorph energy (0 for the lowest one): 0.60 eV per formula unit. Its formation energy from the elements is 0.1 eV per formula unit. For the total DFT energy (no corrections), the calculation gives -29.97 eV/cell.

---

# 7
DFT (PBE-GGA) results for Ta2MoRh after structural relaxation.

Lattice parameters (Å, degrees): 3.905 3.905 9.853 78.57 78.57 90.00
Atoms (fractional coordinates):
Ta  0.875  0.872  0.750
Ta  0.375  0.378  0.750
Ta  0.622  0.125  0.250
Mo  0.500  0.500  0.000
Rh  0.000  0.000  0.000
Ta  0.128  0.625  0.250
Rh  0.750  0.250  0.500
Mo  0.250  0.750  0.500

Calculated values
Its space group is No. 122. As for the polymorph energy (0 for the lowest one): 3.85 eV per formula unit. Its formation energy from the elements is 2.5 eV per formula unit. For the total DFT energy (no corrections), the calculation gives -78.85 eV/cell.

---

# 8
DFT (PBE-GGA) results for Ta2MoRh after structural relaxation.

Lattice parameters (Å, degrees): 9.643 9.643 9.643 17.03 17.03 17.03
Atoms (fractional coordinates):
Mo  0.250  0.250  0.250
Ta  0.004  0.004  0.004
Ta  0.496  0.496  0.496
Rh  0.750  0.750  0.750

Calculated values
Its space group is No. 166. As for the polymorph energy (0 for the lowest one): 1.54 eV per formula unit. Its formation energy from the elements is 0.1 eV per formula unit. For the total DFT energy (no corrections), the calculation gives -41.74 eV/cell.

---

# 9
DFT (PBE-GGA) results for TaMoRh2 after structural relaxation.

Lattice parameters (Å, degrees): 9.323 9.323 9.323 17.38 17.38 17.38
Atoms (fractional coordinates):
Mo  0.745  0.745  0.745
Ta  0.504  0.504  0.504
Rh  0.002  0.002  0.002
Rh  0.250  0.250  0.250

Calculated values
Its space group is No. 160. As for the polymorph energy (0 for the lowest one): 1.19 eV per formula unit. Its formation energy from the elements is -0.2 eV per formula unit. For the total DFT energy (no corrections), the calculation gives -37.61 eV/cell.

---

# 10
DFT (PBE-GGA) results for Ta2MoRh after structural relaxation.

Lattice parameters (Å, degrees): 2.795 2.795 8.775 90.00 90.00 104.52
Atoms (fractional coordinates):
Rh  0.500  0.500  0.746
Mo  0.000  0.000  0.513
Ta  0.500  0.500  0.255
Ta  0.000  0.000  0.986

Calculated values
Its space group is No. 35. As for the polymorph energy (0 for the lowest one): 0.92 eV per formula unit. Its formation energy from the elements is -0.5 eV per formula unit. For the total DFT energy (no corrections), the calculation gives -42.36 eV/cell.

---

# 11
DFT (PBE-GGA) results for TaMo2Rh after structural relaxation.

Lattice parameters (Å, degrees): 4.888 4.888 5.046 82.31 82.31 32.72
Atoms (fractional coordinates):
Mo  0.238  0.238  0.236
Ta  0.762  0.762  0.726
Mo  0.996  0.996  0.021
Rh  0.505  0.505  0.518

Calculated values
Its space group is No. 8. As for the polymorph energy (0 for the lowest one): 0.58 eV per formula unit. Its formation energy from the elements is 0.1 eV per formula unit. For the total DFT energy (no corrections), the calculation gives -40.81 eV/cell.

---

# 12
DFT (PBE-GGA) results for Ta2MoRh after structural relaxation.

Lattice parameters (Å, degrees): 2.796 2.796 8.533 90.00 90.00 90.00
Atoms (fractional coordinates):
Ta  0.000  0.000  0.520
Rh  0.500  0.500  0.750
Ta  0.000  0.000  0.980
Mo  0.500  0.500  0.250

Calculated values
Its space group is No. 123. As for the polymorph energy (0 for the lowest one): 0.89 eV per formula unit. Its formation energy from the elements is -0.5 eV per formula unit. For the total DFT energy (no corrections), the calculation gives -42.39 eV/cell.

---

# 13
DFT (PBE-GGA) results for Ta2MoRh after structural relaxation.

Lattice parameters (Å, degrees): 4.609 2.805 5.231 78.98 90.00 90.00
Atoms (fractional coordinates):
Rh  0.500  0.753  0.764
Ta  0.000  0.994  0.991
Ta  0.500  0.259  0.263
Mo  0.000  0.494  0.482

Calculated values
Its space group is No. 6. As for the polymorph energy (0 for the lowest one): 0.72 eV per formula unit. Its formation energy from the elements is -0.7 eV per formula unit. For the total DFT energy (no corrections), the calculation gives -42.56 eV/cell.

---

# 14
DFT (PBE-GGA) results for TaMoRh2 after structural relaxation.

Lattice parameters (Å, degrees): 4.472 4.472 4.472 60.00 60.00 60.00
Atoms (fractional coordinates):
Mo  0.000  0.000  0.000
Ta  0.500  0.500  0.500
Rh  0.250  0.250  0.250
Rh  0.750  0.750  0.750

Calculated values
Its space group is No. 225. As for the polymorph energy (0 for the lowest one): 1.50 eV per formula unit. Its formation energy from the elements is 0.1 eV per formula unit. For the total DFT energy (no corrections), the calculation gives -37.31 eV/cell.